Compound: BaLaSi2Ni4
Source: OQMD
Functional: PBE
Structure: relaxed

## Properties
Volume   149.2 Å³/f.u.
Mass density   6.3 Mg/m³
Calculated total energy   -5.54 eV/atom

POSCAR file:
```
BaLaSi2Ni4
1.0
4.0471 0.0000 0.0000
-2.0236 3.5049 0.0000
0.0000 0.0000 10.5157
Ba La Si Ni
1 1 2 4
direct
0.0000 0.0000 0.0000
0.6667 0.3333 0.5000
0.3333 0.6667 0.2653
0.3333 0.6667 0.7347
0.0000 0.0000 0.3037
0.0000 0.0000 0.6963
0.6667 0.3333 0.2262
0.6667 0.3333 0.7738
```